## Rb2InH5 (PBE-GGA)

Data for Rb2InH5 after structural relaxation.

**Uncorrected energy**: -2.732 eV per atom

Cell lengths 6.3559, 6.3559, 7.9007 Å; angles 90.00, 90.00, 90.00 degrees
Closest atoms and distances in Å follow each position.
Space group I4mm (No. 107)
Symmetry-distinct sites (fractional):
Rb  0.0000  0.5000  0.0000 (multiplicity 4)  10 H 2.88-3.18
In  0.0000  0.0000  0.2760 (multiplicity 2)  5 H 1.79-1.92
H  0.0000  0.0000  0.5031 (multiplicity 2)  1 In 1.79
H  0.2083  0.2083  0.2231 (multiplicity 8)  1 In 1.92

=====

## Rb2InH (PBE-GGA)

Data for Rb2InH after structural relaxation.

**Energy above the lowest structure with this stoichiometry**: 245.2 meV per atom

Cell lengths 8.6441, 8.6441, 8.6441 Å; angles 90.00, 90.00, 90.00 degrees
Closest atoms and distances in Å follow each position.
Space group Fm-3m (No. 225)
Symmetry-distinct sites (fractional):
Rb  0.2500  0.2500  0.2500 (multiplicity 8)  4 H 3.74, 4 In 3.74
In  0.0000  0.0000  0.0000 (multiplicity 4)  8 Rb 3.74
H  0.0000  0.0000  0.5000 (multiplicity 4)  8 Rb 3.74

=====

## Rb2InH4 (PBE-GGA)

Data for Rb2InH4 after structural relaxation.

**Energy above the lowest structure with this stoichiometry**: 22.9 meV per atom

Cell lengths 4.2688, 4.2688, 14.6161 Å; angles 90.00, 90.00, 90.00 degrees
Closest atoms and distances in Å follow each position.
Space group I4/mmm (No. 139)
Symmetry-distinct sites (fractional):
Rb  0.0000  0.0000  0.1446 (multiplicity 4)  9 H 2.99-3.02
In  0.0000  0.0000  0.5000 (multiplicity 2)  6 H 2.13-2.20
H  0.0000  0.0000  0.3494 (multiplicity 4)  1 In 2.20
H  0.0000  0.5000  0.0000 (multiplicity 4)  2 In 2.13

=====

## Rb2InH6 (PBE-GGA)

Data for Rb2InH6 after structural relaxation.

**Uncorrected energy**: -2.563 eV per atom

Cell lengths 5.5759, 5.5759, 11.5198 Å; angles 90.00, 90.00, 90.00 degrees
Closest atoms and distances in Å follow each position.
Space group P4_2/mnm (No. 136)
Symmetry-distinct sites (fractional):
Rb  0.0000  0.0000  0.1664 (multiplicity 4)  6 H 2.67-2.82
In  0.0000  0.0000  0.5000 (multiplicity 2)  6 H 1.88-1.92
H  0.1675  0.1675  0.3790 (multiplicity 8)  1 In 1.92
H  0.2381  0.7619  0.5000 (multiplicity 4)  1 In 1.88

=====

## RbInH (PBE-GGA)

Data for RbInH after structural relaxation.

**Energy above the lowest structure with this stoichiometry**: 151.3 meV per atom

Cell lengths 5.5851, 4.0013, 7.2456 Å; angles 90.00, 90.00, 90.00 degrees
Closest atoms and distances in Å follow each position.
Space group Pmma (No. 51)
Symmetry-distinct sites (fractional):
Rb  0.2500  0.0000  0.1662 (multiplicity 2)  6 H 3.11-3.44
In  0.2500  0.5000  0.5728 (multiplicity 2)  1 H 1.92
H  0.2500  0.5000  0.8381 (multiplicity 2)  1 In 1.92

=====

## RbInH (PBE-GGA)

Data for RbInH after structural relaxation.

**Energy above the lowest structure with this stoichiometry**: 111.1 meV per atom

Cell lengths 7.3438, 7.5543, 7.6155 Å; angles 82.88, 73.73, 74.73 degrees
Closest atoms and distances in Å follow each position.
Space group P-1 (No. 2)
Symmetry-distinct sites (fractional):
Rb  0.1905  0.4534  0.1839 (multiplicity 2)  3 H 2.87-2.98
Rb  0.2200  0.9211  0.6951 (multiplicity 2)  2 H 2.85-2.86
In  0.3466  0.9288  0.1808 (multiplicity 2)  2 H 2.02-2.07
In  0.4085  0.3845  0.6403 (multiplicity 2)  1 H 1.90
H  0.2097  0.5462  0.8038 (multiplicity 2)  1 In 1.90
H  0.4865  0.8798  0.9155 (multiplicity 2)  2 In 2.02-2.07